# NbTlCoTe3 (PBE, optimized geometry)
data_NbTlCoTe3
_symmetry_space_group_name_H-M 'P 1'
_symmetry_Int_Tables_number 1
_cell_length_a 8.7289
_cell_length_b 8.7289
_cell_length_c 10.0430
_cell_angle_alpha 90.00
_cell_angle_beta 90.00
_cell_angle_gamma 155.55
loop_
_symmetry_equiv_pos_as_xyz
'x,y,z'
loop_
_atom_site_label
_atom_site_type_symbol
_atom_site_fract_x
_atom_site_fract_y
_atom_site_fract_z
Nb1 Nb 0.0000 0.0000 0.0000
Nb2 Nb 0.0000 0.0000 0.5000
Tl1 Tl 0.2520 0.7480 0.7500
Tl2 Tl 0.7480 0.2520 0.2500
Co1 Co 0.4774 0.5226 0.2500
Co2 Co 0.5226 0.4774 0.7500
Te1 Te 0.0760 0.9240 0.2500
Te2 Te 0.3797 0.6203 0.0663
Te3 Te 0.3797 0.6203 0.4337
Te4 Te 0.6203 0.3797 0.5663
Te5 Te 0.6203 0.3797 0.9337
Te6 Te 0.9240 0.0760 0.7500
# - Calculated total energy: -61.02 eV for the cell shown
# - Magnetic moment: 0.77 μB/f.u.
# - Symmetry: Cmcm, No. 63